Entry 1:
Crystalline Tb4Pr4Sm3 at its relaxed geometry. Source: Alexandria, functional PBE-GGA.

a b c (Å): 10.8355 5.7774 12.1557
angles (deg): 90.00 90.00 90.00
Closest atoms and distances in Å follow each position.
Space group Amm2 (No. 38)
Unique sites:
Tb (0.0000, 0.0000, 0.0000) [2 per cell]  2 Sm 3.32, 3 Pr 3.32-3.61, 4 Tb 3.59
Tb (0.1963, 0.0000, 0.4954) [4 per cell]  4 Pr 3.44-3.73, 2 Tb 3.59, 4 Sm 3.72-3.76
Tb (0.5000, 0.0000, 0.9438) [2 per cell]  4 Pr 3.10-3.33
Pr (0.0000, 0.0000, 0.2730) [2 per cell]  3 Tb 3.32-3.44, 2 Pr 3.51, 4 Sm 3.69
Pr (0.2905, 0.0000, 0.1447) [4 per cell]  4 Tb 3.33-3.61, 2 Pr 3.38-3.51, 4 Sm 3.57-3.67
Pr (0.5000, 0.0000, 0.3509) [2 per cell]  2 Tb 3.10, 2 Pr 3.38
Sm (0.2097, 0.0000, 0.8012) [4 per cell]  2 Tb 3.32-3.59, 4 Pr 3.57-3.69, 1 Sm 3.68
Sm (0.5000, 0.0000, 0.6444) [2 per cell]  7 Pr 3.57-3.83, 5 Tb 3.64-3.78, 2 Sm 3.68

Results
total DFT energy (no corrections)	-4.560	eV/atom
magnetic moment	0.000	μB/atom
calculated volume	761	Å³ per cell
D(E_F)	35.8	states/eV/cell
energy relative to the elements	158	kJ/mol of formula units

***

Entry 2:
Crystalline Tb2Pr2Sm7 at its relaxed geometry. Source: Alexandria, functional PBE-GGA.

a b c (Å): 7.0540 10.5475 10.1483
angles (deg): 90.00 93.93 90.00
Closest atoms and distances in Å follow each position.
Space group C2/m (No. 12)
Unique sites:
Tb (0.0000, 0.2304, 0.0000) [4 per cell]  6 Sm 3.49-3.64, 2 Tb 3.55, 2 Pr 3.61
Pr (0.2124, 0.0000, 0.7921) [4 per cell]  8 Sm 3.39-3.80, 2 Tb 3.61
Sm (0.0000, 0.5000, 0.5000) [2 per cell]  10 Sm 3.58-3.81, 2 Pr 3.71
Sm (0.1206, 0.2042, 0.3537) [8 per cell]  7 Sm 3.40-3.67, 2 Pr 3.44-3.68, 1 Tb 3.64
Sm (0.1898, 0.5000, 0.8604) [4 per cell]  3 Pr 3.39-3.80, 2 Sm 3.40, 4 Tb 3.49-3.50

Results
total DFT energy (no corrections)	-4.613	eV/atom
magnetic moment	0.000	μB/atom
calculated volume	753	Å³ per cell
D(E_F)	32.7	states/eV/cell
energy relative to the elements	107	kJ/mol of formula units

***

Entry 3:
Crystalline Tb5Pr4Sm at its relaxed geometry. Source: Alexandria, functional PBE-GGA.

a b c (Å): 3.5688 8.8663 11.3694
angles (deg): 89.89 89.95 78.51
Closest atoms and distances in Å follow each position.
Space group P-1 (No. 2)
Unique sites:
Tb (0.0000, 0.0000, 0.0000) [1 per cell]  4 Pr 3.39-3.40, 6 Tb 3.54-3.57
Tb (0.3238, 0.3482, 0.5520) [2 per cell]  2 Pr 3.35-3.70, 4 Tb 3.39-3.57, 2 Sm 3.56-3.57
Tb (0.3255, 0.3466, 0.9503) [2 per cell]  2 Pr 3.35-3.73, 6 Tb 3.40-3.57
Pr (0.1605, 0.6863, 0.7499) [2 per cell]  4 Pr 3.57-3.74, 7 Tb 3.70-3.94, 1 Sm 3.93
Pr (0.4719, 0.0637, 0.7509) [2 per cell]  4 Tb 3.35-3.40, 2 Sm 3.40-3.42, 4 Pr 3.57-3.74
Sm (0.0000, 0.0000, 0.5000) [1 per cell]  4 Pr 3.40-3.42, 4 Tb 3.56-3.57, 2 Sm 3.57

Results
total DFT energy (no corrections)	-4.513	eV/atom
magnetic moment	0.000	μB/atom
calculated volume	353	Å³ per cell
D(E_F)	14.3	states/eV/cell
energy relative to the elements	179	kJ/mol of formula units

***

Entry 4:
Crystalline Tb6PrSm6 at its relaxed geometry. Source: Alexandria, functional PBE-GGA.

a b c (Å): 6.6143 11.3022 6.6161
angles (deg): 90.00 115.39 90.00
Closest atoms and distances in Å follow each position.
Space group P2/m (No. 10)
Unique sites:
Tb (0.0000, 0.2001, 0.0000) [2 per cell]  4 Tb 3.41, 6 Sm 3.43-3.75
Tb (0.0000, 0.2742, 0.5000) [2 per cell]  6 Sm 3.33-3.57, 4 Tb 3.41-3.54
Tb (0.5000, 0.2734, 0.0000) [2 per cell]  6 Sm 3.33-3.57, 4 Tb 3.41-3.54
Pr (0.5000, 0.5000, 0.5000) [1 per cell]  8 Sm 3.80-3.99, 8 Tb 4.18
Sm (0.1451, 0.5000, 0.8583) [2 per cell]  1 Sm 3.21, 4 Tb 3.33
Sm (0.2307, 0.0000, 0.7688) [2 per cell]  6 Tb 3.43-3.57, 4 Sm 3.53-3.56
Sm (0.5000, 0.1635, 0.5000) [2 per cell]  3 Sm 3.53-3.69, 6 Tb 3.53-3.56, 1 Pr 3.80

Results
total DFT energy (no corrections)	-4.466	eV/atom
magnetic moment	0.000	μB/atom
calculated volume	447	Å³ per cell
D(E_F)	21.6	states/eV/cell
energy relative to the elements	272	kJ/mol of formula units